# 1
## Li2ZrRu (PBE)

Data for a geometry-optimized Li2ZrRu structure.

Geometry as POSCAR:
```
Li2ZrRu
1.0
-1.844 1.844 10.468
1.844 -1.844 10.468
1.844 1.844 -10.468
Li Zr Ru
4 2 2
direct
0.091 0.625 0.966
0.375 0.341 0.466
0.659 0.125 0.034
0.875 0.909 0.534
0.250 0.750 0.500
0.500 0.500 0.000
0.000 0.000 0.000
0.750 0.250 0.500
```

Results
* calculated formation energy: 0.106 eV per atom
* space group: No. 122

# 2
## Li2ZrRu (PBE)

Data for a geometry-optimized Li2ZrRu structure.

Geometry as POSCAR:
```
Li2ZrRu
1.0
3.712 0.000 0.000
0.000 3.712 0.000
0.000 0.000 4.845
Li Zr Ru
2 1 1
direct
0.000 0.500 0.000
0.500 0.000 0.000
0.000 0.000 0.500
0.500 0.500 0.500
```

Results
* calculated formation energy: -0.045 eV per atom
* space group: No. 123

# 3
## LiZr2Ru (PBE)

Data for a geometry-optimized LiZr2Ru structure.

Geometry as POSCAR:
```
LiZr2Ru
1.0
1.640 0.947 8.850
-1.640 0.947 8.850
0.000 -1.894 8.850
Li Zr Ru
1 2 1
direct
0.000 0.000 0.000
0.239 0.239 0.239
0.761 0.761 0.761
0.500 0.500 0.500
```

Results
* calculated formation energy: 0.068 eV per atom
* space group: No. 166

# 4
## LiZr2Ru (PBE)

Data for a geometry-optimized LiZr2Ru structure.

Geometry as POSCAR:
```
LiZr2Ru
1.0
3.359 0.000 0.000
0.000 3.359 0.000
0.000 0.000 6.321
Li Zr Ru
1 2 1
direct
0.000 0.000 0.000
0.000 0.000 0.428
0.500 0.500 0.749
0.500 0.500 0.195
```

Results
* calculated formation energy: -0.059 eV per atom
* space group: No. 99

# 5
## LiZrRu2 (PBE)

Data for a geometry-optimized LiZrRu2 structure.

Geometry as POSCAR:
```
LiZrRu2
1.0
2.794 -4.317 0.000
2.794 4.317 0.000
-1.220 0.000 2.558
Li Zr Ru
1 1 2
direct
0.000 0.000 0.000
0.500 0.500 0.000
0.000 0.500 0.500
0.500 0.000 0.500
```

Results
* calculated formation energy: 0.024 eV per atom
* space group: No. 12

# 6
## LiZrRu2 (PBE)

Data for a geometry-optimized LiZrRu2 structure.

Geometry as POSCAR:
```
LiZrRu2
1.0
3.237 0.000 0.000
0.000 3.237 0.000
0.000 0.000 5.829
Li Zr Ru
1 1 2
direct
0.000 0.000 0.000
0.000 0.000 0.500
0.500 0.500 0.223
0.500 0.500 0.777
```

Results
* calculated formation energy: -0.075 eV per atom
* space group: No. 123

# 7
## LiZr2Ru (PBE)

Data for a geometry-optimized LiZr2Ru structure.

Geometry as POSCAR:
```
LiZr2Ru
1.0
3.296 0.000 0.000
0.000 3.311 0.000
0.000 0.000 6.583
Li Zr Ru
1 2 1
direct
0.000 0.000 0.000
0.500 0.500 0.255
0.500 0.500 0.745
0.000 0.000 0.500
```

Results
* calculated formation energy: -0.163 eV per atom
* space group: No. 47

# 8
## LiZrRu4 (PBE)

Data for a geometry-optimized LiZrRu4 structure.

Geometry as POSCAR:
```
LiZrRu4
1.0
0.000 3.641 3.641
3.641 0.000 3.641
3.641 3.641 0.000
Li Zr Ru
1 1 4
direct
0.000 0.000 0.000
0.250 0.250 0.250
0.124 0.625 0.625
0.625 0.124 0.625
0.625 0.625 0.124
0.625 0.625 0.625
```

Results
* calculated formation energy: -0.007 eV per atom
* space group: No. 216

# 9
## LiZr2Ru (PBE)

Data for a geometry-optimized LiZr2Ru structure.

Geometry as POSCAR:
```
LiZr2Ru
1.0
0.000 3.268 3.268
3.268 0.000 3.268
3.268 3.268 0.000
Li Zr Ru
1 2 1
direct
0.000 0.000 0.000
0.500 0.500 0.500
0.750 0.750 0.750
0.250 0.250 0.250
```

Results
* calculated formation energy: 0.055 eV per atom
* space group: No. 216

# 10
## LiZrRu2 (PBE)

Data for a geometry-optimized LiZrRu2 structure.

Geometry as POSCAR:
```
LiZrRu2
1.0
-1.578 2.179 4.542
1.578 -2.179 4.542
1.578 2.179 -4.542
Li Zr Ru
1 1 2
direct
0.000 0.000 0.000
0.729 0.229 0.500
0.244 0.744 0.500
0.477 0.477 0.000
```

Results
* calculated formation energy: -0.047 eV per atom
* space group: No. 44

# 11
## LiZr2Ru (PBE)

Data for a geometry-optimized LiZr2Ru structure.

Geometry as POSCAR:
```
LiZr2Ru
1.0
-1.659 2.281 4.894
1.659 -2.281 4.894
1.659 2.281 -4.894
Li Zr Ru
1 2 1
direct
0.000 0.000 0.000
0.441 0.441 0.000
0.716 0.216 0.500
0.223 0.723 0.500
```

Results
* calculated formation energy: -0.098 eV per atom
* space group: No. 44

# 12
## LiZr2Ru (PBE)

Data for a geometry-optimized LiZr2Ru structure.

Geometry as POSCAR:
```
LiZr2Ru
1.0
-3.664 3.664 2.897
3.664 -3.664 2.897
3.664 3.664 -2.897
Li Zr Ru
2 4 2
direct
0.000 0.000 0.000
0.750 0.250 0.500
0.147 0.625 0.022
0.375 0.397 0.522
0.603 0.125 0.978
0.875 0.853 0.478
0.250 0.750 0.500
0.500 0.500 0.000
```

Results
* calculated formation energy: 0.183 eV per atom
* space group: No. 122

# 13
## LiZrRu2 (PBE)

Data for a geometry-optimized LiZrRu2 structure.

Geometry as POSCAR:
```
LiZrRu2
1.0
1.414 0.817 9.630
-1.414 0.817 9.630
0.000 -1.633 9.630
Li Zr Ru
1 1 2
direct
0.000 0.000 0.000
0.235 0.235 0.235
0.481 0.481 0.481
0.745 0.745 0.745
```

Results
* calculated formation energy: 0.262 eV per atom
* space group: No. 160

# 14
## LiZrRu2 (PBE)

Data for a geometry-optimized LiZrRu2 structure.

Geometry as POSCAR:
```
LiZrRu2
1.0
2.843 0.000 0.000
0.000 4.396 0.000
-1.009 0.000 4.920
Li Zr Ru
1 1 2
direct
0.000 0.000 0.000
0.394 0.500 0.780
0.576 0.000 0.460
0.940 0.500 0.276
```

Results
* calculated formation energy: 0.020 eV per atom
* space group: No. 6

# 15
## LiZrRu2 (PBE)

Data for a geometry-optimized LiZrRu2 structure.

Geometry as POSCAR:
```
LiZrRu2
1.0
-1.895 1.895 4.310
1.895 -1.895 4.310
1.895 1.895 -4.310
Li Zr Ru
1 1 2
direct
0.000 0.000 0.000
0.750 0.250 0.500
0.250 0.750 0.500
0.500 0.500 0.000
```

Results
* calculated formation energy: 0.032 eV per atom
* space group: No. 119

# 16
## Li2ZrRu (PBE)

Data for a geometry-optimized Li2ZrRu structure.

Geometry as POSCAR:
```
Li2ZrRu
1.0
1.751 -2.482 0.000
1.751 2.482 0.000
0.000 0.000 8.854
Li Zr Ru
2 1 1
direct
0.000 0.000 0.000
0.500 0.500 0.276
0.500 0.500 0.701
0.000 0.000 0.495
```

Results
* calculated formation energy: 0.072 eV per atom
* space group: No. 35

# 17
## LiZr4Ru3 (PBE)

Data for a geometry-optimized LiZr4Ru3 structure.

Geometry as POSCAR:
```
LiZr4Ru3
1.0
3.275 0.000 0.000
0.000 4.650 0.000
0.000 0.000 9.314
Li Zr Ru
1 4 3
direct
0.000 0.000 0.000
0.500 0.000 0.253
0.500 0.000 0.747
0.500 0.500 0.000
0.500 0.500 0.500
0.000 0.000 0.500
0.000 0.500 0.249
0.000 0.500 0.751
```

Results
* calculated formation energy: -0.454 eV per atom
* space group: No. 47

# 18
## Li2ZrRu (PBE)

Data for a geometry-optimized Li2ZrRu structure.

Geometry as POSCAR:
```
Li2ZrRu
1.0
0.000 3.080 3.080
3.080 0.000 3.080
3.080 3.080 0.000
Li Zr Ru
2 1 1
direct
0.250 0.250 0.250
0.750 0.750 0.750
0.000 0.000 0.000
0.500 0.500 0.500
```

Results
* calculated formation energy: 0.217 eV per atom
* space group: No. 225

# 19
## LiZrRu2 (PBE)

Data for a geometry-optimized LiZrRu2 structure.

Geometry as POSCAR:
```
LiZrRu2
1.0
2.837 0.000 0.000
0.000 4.253 0.000
-0.511 0.000 5.089
Li Zr Ru
1 1 2
direct
0.000 0.000 0.000
0.500 0.000 0.500
0.222 0.500 0.773
0.778 0.500 0.227
```

Results
* calculated formation energy: -0.026 eV per atom
* space group: No. 10

# 20
## LiZrRu3 (PBE)

Data for a geometry-optimized LiZrRu3 structure.

Geometry as POSCAR:
```
LiZrRu3
1.0
4.855 0.000 0.000
0.000 4.855 0.000
0.000 0.000 4.855
Li Zr Ru
1 1 3
direct
0.000 0.000 0.000
0.500 0.500 0.500
0.000 0.500 0.500
0.500 0.000 0.500
0.500 0.500 0.000
```

Results
* calculated formation energy: 1.465 eV per atom
* space group: No. 221

# 21
## LiZrRu2 (PBE)

Data for a geometry-optimized LiZrRu2 structure.

Geometry as POSCAR:
```
LiZrRu2
1.0
1.589 -2.408 0.000
1.589 2.408 0.000
0.000 0.000 8.440
Li Zr Ru
1 1 2
direct
0.000 0.000 0.000
0.000 0.000 0.500
0.500 0.500 0.250
0.500 0.500 0.750
```

Results
* calculated formation energy: 0.076 eV per atom
* space group: No. 65

# 22
## LiZr2Ru (PBE)

Data for a geometry-optimized LiZr2Ru structure.

Geometry as POSCAR:
```
LiZr2Ru
1.0
4.636 0.000 0.000
0.000 4.636 0.000
0.000 0.000 3.317
Li Zr Ru
1 2 1
direct
0.000 0.000 0.000
0.000 0.500 0.500
0.500 0.000 0.500
0.500 0.500 0.000
```

Results
* calculated formation energy: -0.236 eV per atom
* space group: No. 123

# 23
## LiZr2Ru (PBE)

Data for a geometry-optimized LiZr2Ru structure.

Geometry as POSCAR:
```
LiZr2Ru
1.0
-1.481 2.557 5.292
1.481 -2.557 5.292
1.481 2.557 -5.292
Li Zr Ru
1 2 1
direct
0.000 0.000 0.000
0.265 0.265 0.000
0.735 0.735 0.000
0.500 0.500 0.000
```

Results
* calculated formation energy: 0.471 eV per atom
* space group: No. 71

# 24
## LiZrRu2 (PBE)

Data for a geometry-optimized LiZrRu2 structure.

Geometry as POSCAR:
```
LiZrRu2
1.0
0.000 3.140 3.140
3.140 0.000 3.140
3.140 3.140 0.000
Li Zr Ru
1 1 2
direct
0.000 0.000 0.000
0.250 0.250 0.250
0.500 0.500 0.500
0.750 0.750 0.750
```

Results
* calculated formation energy: 0.027 eV per atom
* space group: No. 216

# 25
## Li2ZrRu (PBE)

Data for a geometry-optimized Li2ZrRu structure.

Geometry as POSCAR:
```
Li2ZrRu
1.0
1.422 -2.339 0.000
1.422 2.339 0.000
0.000 0.000 10.135
Li Zr Ru
2 1 1
direct
0.000 0.000 0.219
0.000 0.000 0.781
0.500 0.500 0.500
0.500 0.500 0.000
```

Results
* calculated formation energy: 0.279 eV per atom
* space group: No. 65

# 26
## Li2S (PBE)

Data for a geometry-optimized Li2S structure.

Geometry as POSCAR:
```
Li2S
1.0
6.311 0.000 0.000
0.000 3.814 0.000
0.000 0.000 7.266
Li S
8 4
direct
0.022 0.250 0.166
0.142 0.250 0.572
0.358 0.750 0.072
0.478 0.750 0.666
0.522 0.250 0.334
0.642 0.250 0.928
0.858 0.750 0.428
0.978 0.750 0.834
0.245 0.750 0.389
0.255 0.250 0.889
0.745 0.750 0.111
0.755 0.250 0.611
```

Results
* space group: No. 62
* electronic total energy: -3.93 eV per atom

# 27
## Li2S (PBE)

Data for a geometry-optimized Li2S structure.

Geometry as POSCAR:
```
Li2S
1.0
0.000 2.861 2.861
2.861 0.000 2.861
2.861 2.861 0.000
Li S
2 1
direct
0.250 0.250 0.250
0.750 0.750 0.750
0.000 0.000 0.000
```

Results
* space group: No. 225
* electronic total energy: -3.99 eV per atom

# 28
## LiS4 (PBE)

Data for a geometry-optimized LiS4 structure.

Geometry as POSCAR:
```
LiS4
1.0
5.343 0.000 0.000
-0.591 6.898 0.000
-0.857 -1.857 7.971
Li S
2 8
direct
0.000 0.000 0.000
0.170 0.307 0.830
0.056 0.949 0.710
0.155 0.340 0.133
0.552 0.573 0.814
0.631 0.179 0.518
0.676 0.983 0.669
0.747 0.665 0.058
0.802 0.459 0.644
0.806 0.435 0.171
```

Results
* space group: No. 1
* electronic total energy: -3.95 eV per atom

# 29
## LiS4 (PBE)

Data for a geometry-optimized LiS4 structure.

Geometry as POSCAR:
```
LiS4
1.0
4.393 0.000 0.000
0.000 4.393 0.000
0.000 0.000 4.393
Li S
1 4
direct
0.000 0.000 0.000
0.000 0.000 0.500
0.000 0.500 0.000
0.500 0.000 0.000
0.500 0.500 0.500
```

Results
* space group: No. 221
* electronic total energy: -2.79 eV per atom

no.,DOS at the Fermi energy (states/eV/cell)
1,4.20
2,1.31
3,5.28
4,4.22
5,2.88
6,4.98
7,3.64
8,8.68
9,3.26
10,4.22
11,3.73
12,6.86
13,6.60
14,2.93
15,5.07
16,2.76
17,3.05
18,2.23
19,2.97
20,5.92
21,2.75
22,2.53
23,2.98
24,4.38
25,1.58
26,0.00
27,0.00
28,0.00
29,5.08